Entry from the Alexandria database: a relaxed PmDyGePd crystal (PBE-GGA).

## Properties
density: 8.7 Mg/m³
total moment: 0.00 μB per formula unit
formation enthalpy at 0 K: -3.078 eV per formula unit
offset from the most stable computed form: 89 meV/atom

```
data_PmDyGePd
_chemical_formula_sum 'Pm4 Dy4 Ge4 Pd4'
_space_group_name_H-M_alt 'F -4 3 m'
_space_group_IT_number 216
_space_group_name_Hall 'F -4 2 3'
_cell_length_a 7.185
_cell_length_b 7.185
_cell_length_c 7.185
_cell_angle_alpha 90.00
_cell_angle_beta 90.00
_cell_angle_gamma 90.00
loop_
_atom_site_label
_atom_site_type_symbol
_atom_site_fract_x
_atom_site_fract_y
_atom_site_fract_z
Pm1 Pm 0.000 0.000 0.000
Dy1 Dy 0.000 0.000 0.500
Ge1 Ge 0.250 0.250 0.250
Pd1 Pd 0.250 0.250 0.750
```

---

Entry from the Alexandria database: a relaxed AlTe3Au2 crystal (PBE-GGA).

## Properties
density: 7.2 Mg/m³
formation energy (no corrections): -0.20 eV per atom
total moment: 0.00 μB per formula unit

```
data_AlTe3Au2
_chemical_formula_sum 'Al4 Te12 Au8'
_space_group_name_H-M_alt 'C 1 c 1'
_space_group_IT_number 9
_cell_length_a 7.697
_cell_length_b 13.383
_cell_length_c 7.630
_cell_angle_alpha 90.00
_cell_angle_beta 109.27
_cell_angle_gamma 90.00
loop_
_space_group_symop_operation_xyz
'x,y,z'
'x,-y,z+1/2'
'x+1/2,y+1/2,z'
'x+1/2,-y+1/2,z+1/2'
loop_
_atom_site_label
_atom_site_type_symbol
_atom_site_fract_x
_atom_site_fract_y
_atom_site_fract_z
Al1 Al 0.000 0.082 0.000
Te1 Te 0.131 0.246 0.888
Te2 Te 0.135 0.078 0.375
Te3 Te 0.135 0.413 0.390
Au1 Au 0.007 0.244 0.511
Au2 Au 0.023 0.417 0.014
```

---

Entry from the Alexandria database: a relaxed NbFe3Ge crystal (PBE-GGA).

## Properties
density: 5.9 Mg/m³
total moment: 5.26 μB per formula unit
formation enthalpy at 0 K: 7.425 eV per formula unit
offset from the most stable computed form: 919 meV/atom

```
data_NbFe3Ge
_chemical_formula_sum 'Nb1 Fe3 Ge1'
_space_group_name_H-M_alt 'P m -3 m'
_space_group_IT_number 221
_space_group_name_Hall '-P 4 2 3'
_cell_length_a 4.552
_cell_length_b 4.552
_cell_length_c 4.552
_cell_angle_alpha 90.00
_cell_angle_beta 90.00
_cell_angle_gamma 90.00
loop_
_atom_site_label
_atom_site_type_symbol
_atom_site_fract_x
_atom_site_fract_y
_atom_site_fract_z
Nb1 Nb 0.000 0.000 0.000
Fe1 Fe 0.000 0.000 0.500
Ge1 Ge 0.500 0.500 0.500
```

---

Entry from the Alexandria database: a relaxed Cr2CoPb crystal (PBE-GGA).

## Properties
density: 9.7 Mg/m³
total moment: 7.20 μB per formula unit
formation enthalpy at 0 K: 2.590 eV per formula unit

```
data_Cr2CoPb
_chemical_formula_sum 'Cr2 Co1 Pb1'
_space_group_name_H-M_alt 'P 4/m m m'
_space_group_IT_number 123
_space_group_name_Hall '-P 4 2'
_cell_length_a 4.069
_cell_length_b 4.069
_cell_length_c 3.828
_cell_angle_alpha 90.00
_cell_angle_beta 90.00
_cell_angle_gamma 90.00
loop_
_atom_site_label
_atom_site_type_symbol
_atom_site_fract_x
_atom_site_fract_y
_atom_site_fract_z
Cr1 Cr 0.000 0.500 0.000
Co1 Co 0.000 0.000 0.500
Pb1 Pb 0.500 0.500 0.500
```

---

Entry from the Alexandria database: a relaxed FeSe crystal (PBE-GGA).

## Properties
density: 5.4 Mg/m³
formation energy (no corrections): -0.04 eV per atom
total moment: 1.16 μB per formula unit

```
data_FeSe
_chemical_formula_sum 'Fe8 Se8'
_space_group_name_H-M_alt 'I 4/m'
_space_group_IT_number 87
_space_group_name_Hall '-I 4'
_cell_length_a 9.821
_cell_length_b 9.821
_cell_length_c 3.414
_cell_angle_alpha 90.00
_cell_angle_beta 90.00
_cell_angle_gamma 90.00
loop_
_atom_site_label
_atom_site_type_symbol
_atom_site_fract_x
_atom_site_fract_y
_atom_site_fract_z
Fe1 Fe 0.159 0.724 0.000
Se1 Se 0.077 0.285 0.000
```

---

Entry from the Alexandria database: a relaxed AcTl2Se crystal (PBE-GGA).

## Properties
density: 8.1 Mg/m³
formation energy (no corrections): -0.15 eV per atom
total moment: 0.00 μB per formula unit

```
data_AcTl2Se
_chemical_formula_sum 'Ac3 Tl6 Se3'
_space_group_name_H-M_alt 'R -3 m'
_space_group_IT_number 166
_space_group_name_Hall '-R 3 2"'
_cell_length_a 3.9792
_cell_length_b 3.9792
_cell_length_c 31.9431
_cell_angle_alpha 90.00
_cell_angle_beta 90.00
_cell_angle_gamma 120.00
loop_
_atom_site_label
_atom_site_type_symbol
_atom_site_fract_x
_atom_site_fract_y
_atom_site_fract_z
Ac1 Ac 0.0000 0.0000 0.0000
Tl1 Tl 0.0000 0.0000 0.1070
Se1 Se 0.0000 0.0000 0.5000
```

---

Entry from the Alexandria database: a relaxed LaHf3Au crystal (PBE-GGA).

## Properties
density: 11.0 Mg/m³
total moment: 0.00 μB per formula unit
formation enthalpy at 0 K: 7.877 eV per formula unit
offset from the most stable computed form: 1090 meV/atom

```
data_LaHf3Au
_chemical_formula_sum 'La1 Hf3 Au1'
_space_group_name_H-M_alt 'P m -3 m'
_space_group_IT_number 221
_space_group_name_Hall '-P 4 2 3'
_cell_length_a 5.089
_cell_length_b 5.089
_cell_length_c 5.089
_cell_angle_alpha 90.00
_cell_angle_beta 90.00
_cell_angle_gamma 90.00
loop_
_atom_site_label
_atom_site_type_symbol
_atom_site_fract_x
_atom_site_fract_y
_atom_site_fract_z
La1 La 0.000 0.000 0.000
Hf1 Hf 0.000 0.000 0.500
Au1 Au 0.500 0.500 0.500
```

---

Entry from the Alexandria database: a relaxed Rb2LiAu crystal (PBE-GGA).

## Properties
density: 3.0 Mg/m³
total moment: 0.00 μB per formula unit
formation enthalpy at 0 K: 0.267 eV per formula unit
offset from the most stable computed form: 174 meV/atom

```
data_Rb2LiAu
_chemical_formula_sum 'Rb6 Li3 Au3'
_space_group_name_H-M_alt 'R -3 m'
_space_group_IT_number 166
_space_group_name_Hall '-R 3 2"'
_cell_length_a 4.4801
_cell_length_b 4.4801
_cell_length_c 36.0014
_cell_angle_alpha 90.00
_cell_angle_beta 90.00
_cell_angle_gamma 120.00
loop_
_atom_site_label
_atom_site_type_symbol
_atom_site_fract_x
_atom_site_fract_y
_atom_site_fract_z
Rb1 Rb 0.0000 0.0000 0.1051
Li1 Li 0.0000 0.0000 0.0000
Au1 Au 0.0000 0.0000 0.5000
```

---

Entry from the Alexandria database: a relaxed ZnCd4 crystal (PBE-GGA).

## Properties
density: 7.0 Mg/m³
total moment: 0.00 μB per formula unit
formation enthalpy at 0 K: 0.930 eV per formula unit

```
data_ZnCd4
_chemical_formula_sum 'Zn2 Cd8'
_space_group_name_H-M_alt 'I 4/m m m'
_space_group_IT_number 139
_space_group_name_Hall '-I 4 2'
_cell_length_a 4.122
_cell_length_b 4.122
_cell_length_c 14.397
_cell_angle_alpha 90.00
_cell_angle_beta 90.00
_cell_angle_gamma 90.00
loop_
_atom_site_label
_atom_site_type_symbol
_atom_site_fract_x
_atom_site_fract_y
_atom_site_fract_z
Zn1 Zn 0.000 0.000 0.000
Cd1 Cd 0.000 0.000 0.405
Cd2 Cd 0.000 0.500 0.250
```

---

Entry from the Alexandria database: a relaxed YAl2Co crystal (PBE-GGA).

## Properties
density: 4.7 Mg/m³
total moment: 0.49 μB per formula unit
formation enthalpy at 0 K: -0.785 eV per formula unit

```
data_YAl2Co
_chemical_formula_sum 'Y1 Al2 Co1'
_space_group_name_H-M_alt 'P m m m'
_space_group_IT_number 47
_cell_length_a 3.944
_cell_length_b 4.019
_cell_length_c 4.457
_cell_angle_alpha 90.00
_cell_angle_beta 90.00
_cell_angle_gamma 90.00
loop_
_space_group_symop_operation_xyz
'x,y,z'
'-x,-y,-z'
'-x,-y,z'
'x,y,-z'
'x,-y,-z'
'-x,y,z'
'-x,y,-z'
'x,-y,z'
loop_
_atom_site_label
_atom_site_type_symbol
_atom_site_fract_x
_atom_site_fract_y
_atom_site_fract_z
Y1 Y 0.000 0.000 0.000
Al1 Al 0.000 0.500 0.500
Al2 Al 0.500 0.000 0.500
Co1 Co 0.500 0.500 0.000
```

---

Entry from the Alexandria database: a relaxed Rb2InTcBr6 crystal (PBE-GGA).

## Properties
density: 4.0 Mg/m³
formation energy (no corrections): -0.93 eV per atom
total moment: 2.00 μB per formula unit

```
data_Rb2InTcBr6
_chemical_formula_sum 'Rb8 In4 Tc4 Br24'
_space_group_name_H-M_alt 'F m -3 m'
_space_group_IT_number 225
_space_group_name_Hall '-F 4 2 3'
_cell_length_a 11.276
_cell_length_b 11.276
_cell_length_c 11.276
_cell_angle_alpha 90.00
_cell_angle_beta 90.00
_cell_angle_gamma 90.00
loop_
_atom_site_label
_atom_site_type_symbol
_atom_site_fract_x
_atom_site_fract_y
_atom_site_fract_z
Rb1 Rb 0.250 0.250 0.250
In1 In 0.000 0.000 0.000
Tc1 Tc 0.000 0.000 0.500
Br1 Br 0.000 0.000 0.272
```

---

Entry from the Alexandria database: a relaxed Cu2P2Se crystal (PBE-GGA).

## Properties
density: 5.9 Mg/m³
formation energy (no corrections): 0.33 eV per atom
total moment: 0.00 μB per formula unit
offset from the most stable computed form: 64 meV/atom

```
data_Cu2P2Se
_chemical_formula_sum 'Cu4 P4 Se2'
_space_group_name_H-M_alt 'P 4/m b m'
_space_group_IT_number 127
_space_group_name_Hall '-P 4 2ab'
_cell_length_a 7.483
_cell_length_b 7.483
_cell_length_c 2.698
_cell_angle_alpha 90.00
_cell_angle_beta 90.00
_cell_angle_gamma 90.00
loop_
_atom_site_label
_atom_site_type_symbol
_atom_site_fract_x
_atom_site_fract_y
_atom_site_fract_z
Cu1 Cu 0.119 0.381 0.000
P1 P 0.184 0.684 0.500
Se1 Se 0.000 0.000 0.500
```

---

Entry from the Alexandria database: a relaxed KZnRh2Pb crystal (PBE-GGA).

## Properties
density: 7.1 Mg/m³
total moment: 0.00 μB per formula unit
formation enthalpy at 0 K: 3.105 eV per formula unit

```
data_KZnRh2Pb
_chemical_formula_sum 'K1 Zn1 Rh2 Pb1'
_space_group_name_H-M_alt 'P 4/m m m'
_space_group_IT_number 123
_space_group_name_Hall '-P 4 2'
_cell_length_a 4.826
_cell_length_b 4.826
_cell_length_c 5.198
_cell_angle_alpha 90.00
_cell_angle_beta 90.00
_cell_angle_gamma 90.00
loop_
_atom_site_label
_atom_site_type_symbol
_atom_site_fract_x
_atom_site_fract_y
_atom_site_fract_z
K1 K 0.000 0.000 0.000
Zn1 Zn 0.500 0.500 0.500
Rh1 Rh 0.000 0.500 0.500
Pb1 Pb 0.500 0.500 0.000
```